Below is a relaxed structure of PuSnH8Ir2, with properties calculated at the GGA-PBE level.

Cell: 4.814 4.814 6.892 Å, 69.56 69.56 60.00°
Last column: magnetic moment on the atom in μB.
Element x y z (fractional)
H (0.954, 0.433, 0.181)  0.00
H (0.567, 0.567, 0.819)  0.00
H (0.433, 0.954, 0.181)  0.00
H (0.867, 0.867, 0.398)  0.00
H (0.133, 0.133, 0.602)  0.00
H (0.433, 0.433, 0.181)  0.00
H (0.567, 0.046, 0.819)  0.00
H (0.046, 0.567, 0.819)  0.00
Sn (0.000, 0.000, 0.000)  0.04
Ir (0.780, 0.780, 0.661)  0.02
Ir (0.220, 0.220, 0.339)  0.02
Pu (0.500, 0.500, 0.500)  5.04

Properties
* M_tot: 0.442 μB/atom
* calculated total energy: -5.18 eV/atom